# 1
The following is a DFT calculation (PBE-GGA) of BaBr3O6 after structural relaxation.

Summary:
The calculation puts the magnetic moment at 1.07 Bohr magnetons per cell. Its density of states at the Fermi level is 7.43 states/eV/cell. The value obtained for the total energy is -41.06 eV/f.u.

POSCAR file:
```
BaBr3O6
1.0
4.401 0.000 0.000
-1.467 7.241 0.000
-1.467 -3.620 6.271
Br Ba O
3 1 6
Direct
0.835 0.000 0.480
0.355 0.520 0.520
0.835 0.480 0.000
0.280 0.000 0.000
0.868 0.249 0.000
0.204 0.612 0.000
0.868 0.000 0.249
0.204 0.000 0.612
0.592 0.388 0.388
0.619 0.751 0.751
```

---

# 2
The following is a DFT calculation (PBE-GGA) of SmCoC after structural relaxation.

Summary:
The calculation puts the magnetic moment at 0.00 Bohr magnetons per cell. Its density of states at the Fermi level is 4.91 states/eV/cell. The value obtained for the total energy is -21.21 eV/f.u. The formation enthalpy at 0 K comes out at -0.05 eV/atom.

POSCAR file:
```
SmCoC
1.0
-2.278 -2.258 -4.802
2.024 -4.196 -2.459
-2.077 -4.837 -0.213
Co Sm C
2 2 2
Direct
0.211 0.052 0.171
0.711 0.484 0.739
0.961 0.768 0.955
0.461 0.268 0.455
0.961 0.268 0.955
0.461 0.268 0.955
```

---

# 3
The following is a DFT calculation (PBE-GGA) of Dy6CdIn2 after structural relaxation.

Summary:
The calculation puts the magnetic moment at 0.00 Bohr magnetons per cell. Its density of states at the Fermi level is 13.22 states/eV/cell. The value obtained for the total energy is -34.21 eV/f.u. The formation enthalpy at 0 K comes out at -0.02 eV/atom.

POSCAR file:
```
Dy6CdIn2
1.0
5.154 0.000 -0.198
0.000 7.318 0.000
-2.279 -3.659 7.848
Dy In Cd
6 2 1
Direct
0.500 0.246 0.000
0.834 0.082 0.669
0.166 0.413 0.331
0.166 0.918 0.331
0.500 0.754 0.000
0.834 0.587 0.669
0.334 0.333 0.667
0.666 0.667 0.333
0.000 0.000 0.000
```

---

# 4
The following is a DFT calculation (PBE-GGA) of SmCrH after structural relaxation.

Summary:
The calculation puts the magnetic moment at 0.00 Bohr magnetons per cell. Its density of states at the Fermi level is 3.76 states/eV/cell. The value obtained for the total energy is -16.56 eV/f.u.

POSCAR file:
```
SmCrH
1.0
3.158 0.000 0.000
-1.579 2.734 0.000
0.000 0.000 10.292
H Cr Sm
2 2 2
Direct
0.278 0.556 0.500
0.611 0.222 0.000
0.278 0.555 0.907
0.278 0.555 0.093
0.611 0.223 0.334
0.611 0.223 0.666
```

---

# 5
The following is a DFT calculation (PBE-GGA) of AcNdY2S4 after structural relaxation.

Summary:
The calculation puts the magnetic moment at 0.00 Bohr magnetons per cell. Its density of states at the Fermi level is 4.11 states/eV/cell. The value obtained for the total energy is -54.26 eV/f.u.

POSCAR file:
```
AcNdY2S4
1.0
3.982 0.000 0.000
0.000 7.204 -0.257
0.000 2.443 6.493
S Y Ac Nd
4 2 1 1
Direct
0.000 0.225 0.264
0.500 0.229 0.752
0.500 0.771 0.248
0.000 0.775 0.736
0.500 0.000 0.500
0.000 0.000 0.000
0.500 0.500 0.000
0.000 0.500 0.500
```

---

# 6
The following is a DFT calculation (PBE-GGA) of SmTmThMg after structural relaxation.

Summary:
The calculation puts the magnetic moment at 0.00 Bohr magnetons per cell. Its density of states at the Fermi level is 7.08 states/eV/cell. The value obtained for the total energy is -17.85 eV/f.u. The formation enthalpy at 0 K comes out at 0.09 eV/atom.

POSCAR file:
```
SmTmThMg
1.0
-2.527 0.206 -4.917
0.458 -4.239 -3.525
-4.366 -3.246 -1.005
Tm Th Mg Sm
1 1 1 1
Direct
0.750 0.750 0.750
0.000 0.000 0.000
0.250 0.250 0.250
0.500 0.500 0.500
```

---

# 7
The following is a DFT calculation (PBE-GGA) of Na2Ag2Sb3 after structural relaxation.

Summary:
The calculation puts the magnetic moment at 0.00 Bohr magnetons per cell. Its density of states at the Fermi level is 1.73 states/eV/cell. The value obtained for the total energy is -21.68 eV/f.u.

POSCAR file:
```
Na2Ag2Sb3
1.0
-2.005 -4.009 0.967
0.996 0.630 -6.196
6.240 -2.145 4.043
Na Sb Ag
2 3 2
Direct
0.844 0.689 0.202
0.156 0.311 0.798
0.390 0.781 0.537
0.610 0.219 0.463
0.500 0.000 0.000
0.870 0.740 0.751
0.130 0.260 0.249
```

---

# 8
The following is a DFT calculation (PBE-GGA) of ZnFeTc2 after structural relaxation.

Summary:
The calculation puts the magnetic moment at 1.52 Bohr magnetons per cell. Its density of states at the Fermi level is 2.69 states/eV/cell. The value obtained for the total energy is -29.94 eV/f.u. The formation enthalpy at 0 K comes out at 0.13 eV/atom.

POSCAR file:
```
ZnFeTc2
1.0
-0.491 -2.728 3.840
2.101 -4.218 -0.473
1.410 4.466 -0.695
Tc Zn Fe
2 1 1
Direct
0.500 0.500 0.000
0.000 0.000 0.000
0.750 0.250 0.500
0.250 0.750 0.500
```

---

# 9
The following is a DFT calculation (PBE-GGA) of PmErSi3 after structural relaxation.

Summary:
The calculation puts the magnetic moment at 0.00 Bohr magnetons per cell. Its density of states at the Fermi level is 3.22 states/eV/cell. The value obtained for the total energy is -29.09 eV/f.u.

POSCAR file:
```
PmErSi3
1.0
-1.076 3.484 1.524
-0.078 -1.704 3.840
11.863 3.823 -0.360
Si Pm Er
6 2 2
Direct
0.250 0.475 0.949
0.750 0.621 0.242
0.750 0.525 0.051
0.250 0.679 0.359
0.250 0.379 0.758
0.750 0.321 0.641
0.750 0.929 0.859
0.250 0.071 0.141
0.250 0.797 0.594
0.750 0.203 0.406
```

---

# 10
The following is a DFT calculation (PBE-GGA) of Nd2AgH after structural relaxation.

Summary:
The calculation puts the magnetic moment at 0.14 Bohr magnetons per cell. Its density of states at the Fermi level is 4.46 states/eV/cell. The value obtained for the total energy is -15.74 eV/f.u.

POSCAR file:
```
Nd2AgH
1.0
-2.567 -0.485 2.164
0.506 -3.351 -0.150
4.782 0.463 5.778
H Ag Nd
1 1 2
Direct
0.500 0.500 0.000
0.500 0.500 0.500
0.000 0.000 0.220
0.000 0.000 0.780
```

---

# 11
The following is a DFT calculation (PBE-GGA) of CsGa2I2 after structural relaxation.

Summary:
The calculation puts the magnetic moment at 0.00 Bohr magnetons per cell. Its density of states at the Fermi level is 1.01 states/eV/cell. The value obtained for the total energy is -12.93 eV/f.u.

POSCAR file:
```
CsGa2I2
1.0
4.247 0.000 0.000
0.000 4.247 0.000
2.124 2.124 10.327
Ga I Cs
2 2 1
Direct
0.750 0.250 0.500
0.250 0.750 0.500
0.383 0.383 0.235
0.617 0.617 0.765
0.000 0.000 0.000
```

---

# 12
The following is a DFT calculation (PBE-GGA) of TaIrW after structural relaxation.

Summary:
The calculation puts the magnetic moment at 0.00 Bohr magnetons per cell. Its density of states at the Fermi level is 2.39 states/eV/cell. The value obtained for the total energy is -34.05 eV/f.u. The formation enthalpy at 0 K comes out at -0.13 eV/atom.

POSCAR file:
```
TaIrW
1.0
-0.590 -4.717 -1.890
3.203 -3.898 0.850
-3.048 3.604 1.973
Ta Ir W
1 1 1
Direct
0.336 0.336 0.000
0.004 0.004 0.000
0.661 0.661 0.000
```